TlSnMo2Pd: PBEsol geometry, SCAN.

For the theoretical density, the calculation gives 7.52 Mg/m³. The magnetic moment comes out at 7.092 μB/cell. The calculation puts the uncorrected energy at -39.95 eV per atom.

The structure belongs to space group P4/mmm (No. 123); the cell edges are 5.098, 5.098 and 5.282 Å and the angles 90.00°, 90.00° and 90.00°. The distinct sites, in fractional coordinates, are Tl at (0.000, 0.000, 0.000), Sn at (0.000, 0.000, 0.500), Mo at (0.000, 0.500, 0.000) and Pd at (0.500, 0.500, 0.500).